The following is a DFT calculation (PBE-GGA) of a relaxed structure of LiCo2Br6.

Unit cell a=6.5234 b=10.1776 c=10.1776 alpha=91.49 beta=106.66 gamma=106.66
With the nearest neighbours (Å) after each atom.
Positions (direct):
1 Br 0.5846 0.9760 0.2159  1 Co 2.32, 1 Li 2.58
2 Co 0.3337 0.8155 0.6525  4 Br 2.32-2.40
3 Br 0.4047 0.5716 0.2043  1 Co 2.33, 1 Li 2.56
4 Br 0.9047 0.2043 0.5716  1 Co 2.33, 1 Li 2.56
5 Br 0.0953 0.7957 0.4284  1 Co 2.33, 1 Li 2.56
6 Li 0.7500 0.2278 0.7722  4 Br 2.56-2.58
7 Co 0.1663 0.3475 0.1845  4 Br 2.32-2.40
8 Co 0.8337 0.6525 0.8155  4 Br 2.32-2.40
9 Br 0.9154 0.7841 0.0240  1 Co 2.32, 1 Li 2.58
10 Br 0.8313 0.3651 0.2275  2 Co 2.40
11 Br 0.6687 0.7725 0.6349  2 Co 2.40
12 Br 0.1687 0.6349 0.7725  2 Co 2.40
13 Br 0.5953 0.4284 0.7957  1 Co 2.33, 1 Li 2.56
14 Br 0.0846 0.2159 0.9760  1 Co 2.32, 1 Li 2.58
15 Li 0.2500 0.7722 0.2278  4 Br 2.56-2.58
16 Br 0.3313 0.2275 0.3651  2 Co 2.40
17 Br 0.4154 0.0240 0.7841  1 Co 2.32, 1 Li 2.58
18 Co 0.6663 0.1845 0.3475  4 Br 2.32-2.40

Output
DOS(E_F)   8.4 states/eV/f.u.
E   -62.071 eV per cell
Calculated density   3.26 g cm⁻³
M_tot   0.7786 μB/atom


The following is a DFT calculation (PBE-GGA) of a relaxed structure of LiCoBr2.

Unit cell a=4.7674 b=4.7674 c=4.7674 alpha=60.00 beta=60.00 gamma=60.00
With the nearest neighbours (Å) after each atom.
Positions (direct):
1 Br 0.2500 0.2500 0.2500  4 Co 2.92, 4 Li 2.92
2 Li 0.0000 0.0000 0.0000  8 Br 2.92
3 Br 0.7500 0.7500 0.7500  4 Co 2.92, 4 Li 2.92
4 Co 0.5000 0.5000 0.5000  8 Br 2.92

Output
DOS(E_F)   4.5 states/eV/f.u.
Distance to the lowest polymorph of the same formula   0.3687 eV/atom
E   -13.114 eV per cell
Calculated density   4.89 g cm⁻³
M_tot   0.5012 μB/atom


The following is a DFT calculation (PBE-GGA) of a relaxed structure of NaLiCoBr4.

Unit cell a=6.6159 b=6.6159 c=7.0383 alpha=118.03 beta=118.03 gamma=90.00
With the nearest neighbours (Å) after each atom.
Positions (direct):
1 Br 0.8914 0.4322 0.2599  1 Co 2.41, 1 Li 2.56
2 Br 0.5678 0.6315 0.7401  1 Co 2.41, 1 Li 2.56
3 Li 0.5000 0.5000 0.0000  4 Br 2.56
4 Br 0.3685 0.8277 0.2599  1 Co 2.41, 1 Li 2.56
5 Co 0.2500 0.7500 0.5000  4 Br 2.41
6 Br 0.1723 0.1086 0.7401  1 Co 2.41, 1 Li 2.56
7 Na 0.0000 0.0000 0.0000  4 Br 2.89

Output
E   -23.963 eV per cell
Calculated density   2.95 g cm⁻³
M_tot   0.4286 μB/atom


The following is a DFT calculation (PBE-GGA) of a relaxed structure of NaLi2CoBr.

Unit cell a=5.3449 b=4.8914 c=5.3449 alpha=90.00 beta=90.00 gamma=90.00
With the nearest neighbours (Å) after each atom.
Positions (direct):
1 Na 0.0000 0.0000 0.0000  2 Co 2.45, 4 Li 2.67
2 Li 0.0000 0.0000 0.5000  2 Na 2.67
3 Br 0.5000 0.5000 0.5000  8 Li 3.62, 4 Co 3.78
4 Co 0.0000 0.5000 0.0000  2 Na 2.45
5 Li 0.5000 0.0000 0.0000  2 Na 2.67

Output
DOS(E_F)   3.0 states/eV/f.u.
E   -10.755 eV per cell
Calculated density   2.09 g cm⁻³
M_tot   0.3466 μB/atom